This record from the Alexandria database describes an optimized crystal structure of InRe2Ir. The functional is PBE-GGA.

Computed properties:
Symmetry = P4/mmm, No. 123
Formation enthalpy at 0 K = 482 meV/atom

Geometry as POSCAR:
```
InRe2Ir
1.0
-0.667 3.421 2.751
-2.801 1.269 -2.257
-2.525 -2.075 1.968
In Ir Re
1 1 2
direct
0.500 0.500 0.000
0.500 0.000 0.500
0.000 0.000 0.000
0.000 0.500 0.500
```